Here is Li2Cr3O6 after structural relaxation from Alexandria via LeMat-Bulk. Energies are from GGA+U.

Computed properties:
Total DFT energy (no corrections) in eV per atom: -6.977
SG: No. 70
Offset from the most stable computed form in eV per formula unit: 0.19

Cell lengths 5.3567, 5.3566, 8.8084 Å; angles 99.71, 80.29, 63.55 degrees
Fractional coordinates of all 22 atoms:
1 Cr 0.7500 0.7500 0.5000
2 Cr 0.0852 0.4148 0.8296
3 Cr 0.6648 0.3352 0.6704
4 Cr 0.4148 0.0852 0.1704
5 Cr 0.0000 0.0000 0.0000
6 Cr 0.3352 0.6648 0.3296
7 O 0.5319 0.5319 0.5000
8 O 0.9681 0.9681 0.5000
9 O 0.2927 0.6502 0.8320
10 O 0.4573 0.0998 0.6680
11 O 0.6502 0.2928 0.1680
12 O 0.7819 0.7819 0.0000
13 O 0.1818 0.8752 0.1680
14 O 0.0998 0.4572 0.3320
15 O 0.8752 0.1818 0.8320
16 O 0.8748 0.5682 0.6680
17 O 0.5682 0.8748 0.3320
18 O 0.2181 0.2181 0.0000
19 Li 0.9195 0.5804 0.1608
20 Li 0.5804 0.9196 0.8392
21 Li 0.1696 0.8304 0.6608
22 Li 0.8305 0.1696 0.3392